1.
First-principles (PBE-GGA) data for a geometry-optimized PrNdDyS3 structure, as listed in Alexandria via LeMat-Bulk.

The space group is P2_1/m (No. 11) and the conventional cell measures 6.967, 3.930 and 10.524 Å, with angles of 90.00, 102.43 and 90.00 degrees. The inequivalent atoms are Pr at (0.154, 0.250, 0.198), Nd at (0.374, 0.250, 0.868), Dy at (0.267, 0.750, 0.555), S at (0.045, 0.250, 0.655), S at (0.215, 0.750, 0.006) and S at (0.448, 0.750, 0.349).

As for the electronic total energy: -76.01 eV per cell. The crystal system is monoclinic. The uncorrected formation energy comes out at -1912 meV per atom. The value obtained for the density is 6.42 g/cm3. The density of states at the Fermi level is 0.53 states/eV per atom.

***

2.
First-principles (PBE-GGA) data for a geometry-optimized Pr2Nd3DyS6 structure, as listed in Alexandria via LeMat-Bulk.

The space group is C2/m (No. 12) and the conventional cell measures 7.018, 12.189 and 7.015 Å, with angles of 90.00, 109.52 and 90.00 degrees. The inequivalent atoms are Pr at (0.000, 0.167, 0.000), Nd at (0.000, 0.000, 0.500), Nd at (0.000, 0.329, 0.500), Dy at (0.000, 0.500, 0.000), S at (0.239, 0.500, 0.751) and S at (0.243, 0.339, 0.245).

As for the electronic total energy: -154.92 eV per cell. The crystal system is monoclinic. The uncorrected formation energy comes out at -2019 meV per atom. The value obtained for the density is 6.28 g/cm3. The density of states at the Fermi level is 0.43 states/eV per atom.

***

3.
First-principles (PBE-GGA) data for a geometry-optimized PrNd2DyS4 structure, as listed in Alexandria via LeMat-Bulk.

The space group is P2/m (No. 10) and the conventional cell measures 7.007, 3.995 and 7.042 Å, with angles of 90.00, 108.93 and 90.00 degrees. The inequivalent atoms are Pr at (0.000, 0.000, 0.000), Nd at (0.500, 0.000, 0.500), Nd at (0.500, 0.500, 0.000), Dy at (0.000, 0.500, 0.500), S at (0.240, 0.000, 0.738) and S at (0.247, 0.500, 0.258).

As for the electronic total energy: -51.50 eV per cell. The crystal system is monoclinic. The uncorrected formation energy comes out at -2009 meV per atom. The value obtained for the density is 6.41 g/cm3. The density of states at the Fermi level is 0.60 states/eV per atom.

***

4.
First-principles (PBE-GGA) data for a geometry-optimized Pr3Nd2DyS6 structure, as listed in Alexandria via LeMat-Bulk.

The space group is C2/m (No. 12) and the conventional cell measures 7.018, 12.190 and 7.043 Å, with angles of 90.00, 109.45 and 90.00 degrees. The inequivalent atoms are Pr at (0.000, 0.000, 0.000), Pr at (0.000, 0.329, 0.000), Nd at (0.000, 0.167, 0.500), Dy at (0.000, 0.500, 0.500), S at (0.242, 0.338, 0.740) and S at (0.243, 0.500, 0.256).

As for the electronic total energy: -154.98 eV per cell. The crystal system is monoclinic. The uncorrected formation energy comes out at -2021 meV per atom. The value obtained for the density is 6.23 g/cm3. The density of states at the Fermi level is 0.44 states/eV per atom.

***

5.
First-principles (PBE-GGA) data for a geometry-optimized PrNd2Dy3S6 structure, as listed in Alexandria via LeMat-Bulk.

The space group is C2/m (No. 12) and the conventional cell measures 17.483, 3.956 and 8.077 Å, with angles of 90.00, 104.56 and 90.00 degrees. The inequivalent atoms are Pr at (0.000, 0.000, 0.000), Nd at (0.167, 0.500, 0.333), Dy at (0.000, 0.000, 0.500), Dy at (0.166, 0.500, 0.833), S at (0.003, 0.500, 0.739), S at (0.163, 0.000, 0.592) and S at (0.171, 0.000, 0.075).

As for the electronic total energy: -154.11 eV per cell. The crystal system is monoclinic. The uncorrected formation energy comes out at -2014 meV per atom. The value obtained for the density is 6.81 g/cm3. The density of states at the Fermi level is 0.41 states/eV per atom.

***

6.
First-principles (PBE-GGA) data for a geometry-optimized Pr2NdDyS4 structure, as listed in Alexandria via LeMat-Bulk.

The space group is P2/m (No. 10) and the conventional cell measures 7.017, 4.000 and 7.068 Å, with angles of 90.00, 108.87 and 90.00 degrees. The inequivalent atoms are Pr at (0.000, 0.000, 0.000), Pr at (0.500, 0.500, 0.000), Nd at (0.000, 0.500, 0.500), Dy at (0.500, 0.000, 0.500), S at (0.254, 0.000, 0.741) and S at (0.262, 0.500, 0.264).

As for the electronic total energy: -51.53 eV per cell. The crystal system is monoclinic. The uncorrected formation energy comes out at -2012 meV per atom. The value obtained for the density is 6.34 g/cm3. The density of states at the Fermi level is 0.58 states/eV per atom.

***

7.
First-principles (PBE-GGA) data for a geometry-optimized PrNd2Dy3Sb6 structure, as listed in Alexandria via LeMat-Bulk.

The space group is C2/m (No. 12) and the conventional cell measures 19.431, 4.463 and 8.915 Å, with angles of 90.00, 103.15 and 90.00 degrees. The inequivalent atoms are Pr at (0.000, 0.000, 0.000), Nd at (0.167, 0.500, 0.333), Dy at (0.000, 0.000, 0.500), Dy at (0.166, 0.500, 0.833), Sb at (0.002, 0.500, 0.743), Sb at (0.165, 0.000, 0.588) and Sb at (0.169, 0.000, 0.078).

As for the electronic total energy: -133.50 eV per cell. The crystal system is monoclinic. The uncorrected formation energy comes out at -1158 meV per atom. The value obtained for the density is 7.27 g/cm3. The density of states at the Fermi level is 0.16 states/eV per atom.

***

8.
First-principles (PBE-GGA) data for a geometry-optimized Pr2NdDy3Sb6 structure, as listed in Alexandria via LeMat-Bulk.

The space group is C2/m (No. 12) and the conventional cell measures 19.455, 4.469 and 8.926 Å, with angles of 90.00, 103.14 and 90.00 degrees. The inequivalent atoms are Pr at (0.166, 0.000, 0.333), Nd at (0.000, 0.500, 0.000), Dy at (0.000, 0.500, 0.500), Dy at (0.167, 0.000, 0.833), Sb at (0.003, 0.000, 0.745), Sb at (0.164, 0.500, 0.589) and Sb at (0.169, 0.500, 0.077).

As for the electronic total energy: -133.53 eV per cell. The crystal system is monoclinic. The uncorrected formation energy comes out at -1158 meV per atom. The value obtained for the density is 7.22 g/cm3. The density of states at the Fermi level is 0.16 states/eV per atom.